VASP calculation (GGA+U) on crystalline Rb3MoO at its relaxed geometry.

```
5
Lattice="5.803 0.000 0.000 0.000 5.803 0.000 0.000 0.000 5.803" Properties=species:S:1:pos:R:3 pbc="T T T"
Rb 0.000 0.000 2.901
Rb 0.000 2.901 0.000
Rb 2.901 0.000 0.000
Mo 2.901 2.901 2.901
O 0.000 0.000 0.000
```

V, Å³/f.u.: 195
Crystal system: cubic
Calculated density, g/cm³: 3.1
Energy above the most stable polymorph in this dataset, eV per formula unit: 0.00
Fermi-level density of states, states/eV/cell: 1.45
Symmetry: Pm-3m, No. 221